# PBE Zn5CdAg6, relaxed
# Electronic total energy ... -2.055 eV/atom
# Volume ... 201 Å³/f.u.
# Total magnetic moment ... 0.0 μB per formula unit
data_Zn5CdAg6
_cell_length_a 4.3453
_cell_length_b 13.0224
_cell_length_c 7.1048
_cell_angle_alpha 90.00
_cell_angle_beta 91.28
_cell_angle_gamma 90.00
_space_group_name_H-M_alt 'C 1 2/m 1'
_space_group_IT_number 12
loop_
_space_group_symop_operation_xyz
'x,y,z'
'-x,-y,-z'
'-x,y,-z'
'x,-y,z'
'x+1/2,y+1/2,z'
'-x+1/2,-y+1/2,-z'
'-x+1/2,y+1/2,-z'
'x+1/2,-y+1/2,z'
loop_
_atom_site_label
_atom_site_fract_x
_atom_site_fract_y
_atom_site_fract_z
Zn1 0.0000 0.0000 0.0000
Zn2 0.0000 0.3329 0.0000
Zn3 0.0000 0.3326 0.5000
Cd1 0.0000 0.0000 0.5000
Ag1 0.9998 0.5000 0.2338
Ag2 0.0024 0.1703 0.2431



# PBE ZnCd2Ag3, relaxed
# Electronic total energy ... -1.986 eV/atom
# Volume ... 110 Å³/f.u.
# Total magnetic moment ... 0.0 μB per formula unit
data_ZnCd2Ag3
_cell_length_a 4.4742
_cell_length_b 13.3807
_cell_length_c 7.3620
_cell_angle_alpha 90.00
_cell_angle_beta 90.00
_cell_angle_gamma 90.00
_space_group_name_H-M_alt 'C m m m'
_space_group_IT_number 65
_space_group_name_Hall '-C 2 2'
loop_
_atom_site_label
_atom_site_fract_x
_atom_site_fract_y
_atom_site_fract_z
Zn1 0.0000 0.1616 0.0000
Cd1 0.0000 0.1672 0.5000
Cd2 0.0000 0.5000 0.0000
Cd3 0.0000 0.5000 0.5000
Ag1 0.0000 0.0000 0.2432
Ag2 0.0000 0.3265 0.2268



# PBE Zn4CdAg6, relaxed
# Electronic total energy ... -2.007 eV/atom
# Volume ... 200 Å³/f.u.
# Total magnetic moment ... 0.0 μB per formula unit
data_Zn4CdAg6
_cell_length_a 5.3344
_cell_length_b 5.3344
_cell_length_c 14.0395
_cell_angle_alpha 90.00
_cell_angle_beta 90.00
_cell_angle_gamma 90.00
_space_group_name_H-M_alt 'I -4 2 m'
_space_group_IT_number 121
_space_group_name_Hall 'I -4 2'
loop_
_atom_site_label
_atom_site_fract_x
_atom_site_fract_y
_atom_site_fract_z
Zn1 0.1854 0.1854 0.1315
Cd1 0.0000 0.0000 0.5000
Ag1 0.0000 0.5000 0.0000
Ag2 0.2027 0.2027 0.3190



# PBE ZnCd6Ag2, relaxed
# Electronic total energy ... -1.335 eV/atom
# Volume ... 211 Å³/f.u.
# Total magnetic moment ... 0.0 μB per formula unit
data_ZnCd6Ag2
_cell_length_a 14.5759
_cell_length_b 6.8060
_cell_length_c 4.4241
_cell_angle_alpha 90.00
_cell_angle_beta 106.29
_cell_angle_gamma 90.00
_space_group_name_H-M_alt 'C 1 2/m 1'
_space_group_IT_number 12
loop_
_space_group_symop_operation_xyz
'x,y,z'
'-x,-y,-z'
'-x,y,-z'
'x,-y,z'
'x+1/2,y+1/2,z'
'-x+1/2,-y+1/2,-z'
'-x+1/2,y+1/2,-z'
'x+1/2,-y+1/2,z'
loop_
_atom_site_label
_atom_site_fract_x
_atom_site_fract_y
_atom_site_fract_z
Zn1 0.0000 0.0000 0.0000
Cd1 0.0000 0.2485 0.5000
Cd2 0.1657 0.2344 0.1645
Ag1 0.1640 0.5000 0.6622



# PBE Zn2CdAg, relaxed
# Electronic total energy ... -1.541 eV/atom
# Volume ... 74 Å³/f.u.
# Total magnetic moment ... 0.0 μB per formula unit
data_Zn2CdAg
_cell_length_a 2.8426
_cell_length_b 2.8426
_cell_length_c 31.6044
_cell_angle_alpha 90.00
_cell_angle_beta 90.00
_cell_angle_gamma 120.00
_space_group_name_H-M_alt 'R -3 m'
_space_group_IT_number 166
_space_group_name_Hall '-R 3 2"'
loop_
_atom_site_label
_atom_site_fract_x
_atom_site_fract_y
_atom_site_fract_z
Zn1 0.0000 0.0000 0.2410
Cd1 0.0000 0.0000 0.0000
Ag1 0.0000 0.0000 0.5000



# PBE Zn2Cd2Ag7, relaxed
# Electronic total energy ... -2.175 eV/atom
# Volume ... 204 Å³/f.u.
# Total magnetic moment ... 0.0 μB per formula unit
data_Zn2Cd2Ag7
_cell_length_a 5.6351
_cell_length_b 8.9840
_cell_length_c 8.0715
_cell_angle_alpha 90.00
_cell_angle_beta 94.00
_cell_angle_gamma 90.00
_space_group_name_H-M_alt 'C 1 2/m 1'
_space_group_IT_number 12
loop_
_space_group_symop_operation_xyz
'x,y,z'
'-x,-y,-z'
'-x,y,-z'
'x,-y,z'
'x+1/2,y+1/2,z'
'-x+1/2,-y+1/2,-z'
'-x+1/2,y+1/2,-z'
'x+1/2,-y+1/2,z'
loop_
_atom_site_label
_atom_site_fract_x
_atom_site_fract_y
_atom_site_fract_z
Zn1 0.2000 0.0000 0.3325
Cd1 0.0000 0.2514 0.5000
Ag1 0.0000 0.0000 0.0000
Ag2 0.1224 0.2852 0.8488
Ag3 0.2145 0.5000 0.3073



# PBE ZnCdAg14, relaxed
# Electronic total energy ... -2.625 eV/atom
# Volume ... 286 Å³/f.u.
# Total magnetic moment ... 0.0 μB per formula unit
data_ZnCdAg14
_cell_length_a 9.5735
_cell_length_b 5.8812
_cell_length_c 10.1502
_cell_angle_alpha 90.00
_cell_angle_beta 90.00
_cell_angle_gamma 90.00
_space_group_name_H-M_alt 'A m m 2'
_space_group_IT_number 38
loop_
_space_group_symop_operation_xyz
'x,y,z'
'-x,-y,z'
'-x,y,z'
'x,-y,z'
'x,y+1/2,z+1/2'
'-x,-y+1/2,z+1/2'
'-x,y+1/2,z+1/2'
'x,-y+1/2,z+1/2'
loop_
_atom_site_label
_atom_site_fract_x
_atom_site_fract_y
_atom_site_fract_z
Zn1 0.0000 0.0000 0.0000
Cd1 0.0000 0.0000 0.4985
Ag1 0.0000 0.2489 0.2488
Ag2 0.2478 0.0000 0.8324
Ag3 0.2490 0.2476 0.0810
Ag4 0.2535 0.0000 0.3310
Ag5 0.5000 0.0000 0.1635
Ag6 0.5000 0.0000 0.6642
Ag7 0.5000 0.2487 0.9147



# PBE Zn5Cd2Ag5, relaxed
# Electronic total energy ... -1.876 eV/atom
# Volume ... 206 Å³/f.u.
# Total magnetic moment ... 0.0 μB per formula unit
data_Zn5Cd2Ag5
_cell_length_a 12.5137
_cell_length_b 4.0574
_cell_length_c 9.1127
_cell_angle_alpha 90.00
_cell_angle_beta 117.01
_cell_angle_gamma 90.00
_space_group_name_H-M_alt 'C 1 2/m 1'
_space_group_IT_number 12
loop_
_space_group_symop_operation_xyz
'x,y,z'
'-x,-y,-z'
'-x,y,-z'
'x,-y,z'
'x+1/2,y+1/2,z'
'-x+1/2,-y+1/2,-z'
'-x+1/2,y+1/2,-z'
'x+1/2,-y+1/2,z'
loop_
_atom_site_label
_atom_site_fract_x
_atom_site_fract_y
_atom_site_fract_z
Zn1 0.0000 0.0000 0.0000
Zn2 0.0943 0.0000 0.7559
Zn3 0.1636 0.0000 0.5047
Cd1 0.0836 0.5000 0.2548
Ag1 0.0000 0.5000 0.5000
Ag2 0.1623 0.5000 0.9944
Ag3 0.2480 0.5000 0.7406



Copy entry 2 word for word.
# PBE ZnCd2Ag3, relaxed
# Electronic total energy ... -1.986 eV/atom
# Volume ... 110 Å³/f.u.
# Total magnetic moment ... 0.0 μB per formula unit
data_ZnCd2Ag3
_cell_length_a 4.4742
_cell_length_b 13.3807
_cell_length_c 7.3620
_cell_angle_alpha 90.00
_cell_angle_beta 90.00
_cell_angle_gamma 90.00
_space_group_name_H-M_alt 'C m m m'
_space_group_IT_number 65
_space_group_name_Hall '-C 2 2'
loop_
_atom_site_label
_atom_site_fract_x
_atom_site_fract_y
_atom_site_fract_z
Zn1 0.0000 0.1616 0.0000
Cd1 0.0000 0.1672 0.5000
Cd2 0.0000 0.5000 0.0000
Cd3 0.0000 0.5000 0.5000
Ag1 0.0000 0.0000 0.2432
Ag2 0.0000 0.3265 0.2268



> What is the total magnetic moment in the fifth record?

0.0 μB per formula unit



Please write out number 6 again, unchanged.
# PBE Zn2Cd2Ag7, relaxed
# Electronic total energy ... -2.175 eV/atom
# Volume ... 204 Å³/f.u.
# Total magnetic moment ... 0.0 μB per formula unit
data_Zn2Cd2Ag7
_cell_length_a 5.6351
_cell_length_b 8.9840
_cell_length_c 8.0715
_cell_angle_alpha 90.00
_cell_angle_beta 94.00
_cell_angle_gamma 90.00
_space_group_name_H-M_alt 'C 1 2/m 1'
_space_group_IT_number 12
loop_
_space_group_symop_operation_xyz
'x,y,z'
'-x,-y,-z'
'-x,y,-z'
'x,-y,z'
'x+1/2,y+1/2,z'
'-x+1/2,-y+1/2,-z'
'-x+1/2,y+1/2,-z'
'x+1/2,-y+1/2,z'
loop_
_atom_site_label
_atom_site_fract_x
_atom_site_fract_y
_atom_site_fract_z
Zn1 0.2000 0.0000 0.3325
Cd1 0.0000 0.2514 0.5000
Ag1 0.0000 0.0000 0.0000
Ag2 0.1224 0.2852 0.8488
Ag3 0.2145 0.5000 0.3073



> Which of these has the lowest volume?

Zn2CdAg